No. 1
ReSi2Os | GGA-PBE | optimized geometry

Cell and atoms, written as CIF:
```
data_ReSi2Os
_cell_length_a 2.776
_cell_length_b 2.776
_cell_length_c 7.628
_cell_angle_alpha 90.00
_cell_angle_beta 90.00
_cell_angle_gamma 90.00
_space_group_name_H-M_alt 'P 4 m m'
_space_group_IT_number 99
loop_
_space_group_symop_operation_xyz
'x,y,z'
'-y,x,z'
'-x,-y,z'
'y,-x,z'
'-x,y,z'
'y,x,z'
'x,-y,z'
'-y,-x,z'
loop_
_atom_site_label
_atom_site_type_symbol
_atom_site_fract_x
_atom_site_fract_y
_atom_site_fract_z
_atom_site_occupancy
Re1 Re 0.000 0.000 0.000 1
Si1 Si 0.000 0.000 0.539 1
Si2 Si 0.500 0.500 0.239 1
Os1 Os 0.500 0.500 0.766 1
```

Calculated values
* spin magnetization: 0.00 μB per formula unit
* density of states at the Fermi level: 1.73 states/eV/cell
* E_form (uncorrected): 0.1036 eV per atom
* uncorrected energy: -8.527 eV per atom

***

No. 2
Ti2SnGeRh | GGA-PBE | optimized geometry

Cell and atoms, written as CIF:
```
data_Ti2SnGeRh
_cell_length_a 5.003
_cell_length_b 5.003
_cell_length_c 4.974
_cell_angle_alpha 90.00
_cell_angle_beta 90.00
_cell_angle_gamma 90.00
_space_group_name_H-M_alt 'P 4/m m m'
_space_group_IT_number 123
_space_group_name_Hall '-P 4 2'
loop_
_atom_site_label
_atom_site_type_symbol
_atom_site_fract_x
_atom_site_fract_y
_atom_site_fract_z
_atom_site_occupancy
Ti1 Ti 0.000 0.500 0.000 1
Sn1 Sn 0.000 0.000 0.000 1
Ge1 Ge 0.000 0.000 0.500 1
Rh1 Rh 0.500 0.500 0.500 1
```

Calculated values
* spin magnetization: 0.00 μB per formula unit
* density of states at the Fermi level: 7.40 states/eV/cell
* ΔE_f: 1.37 eV per atom
* uncorrected energy: -4.981 eV per atom

***

No. 3
LaNb3Pb | GGA-PBE | optimized geometry

Cell and atoms, written as CIF:
```
data_LaNb3Pb
_cell_length_a 5.250
_cell_length_b 5.250
_cell_length_c 5.250
_cell_angle_alpha 90.00
_cell_angle_beta 90.00
_cell_angle_gamma 90.00
_space_group_name_H-M_alt 'P m -3 m'
_space_group_IT_number 221
_space_group_name_Hall '-P 4 2 3'
loop_
_atom_site_label
_atom_site_type_symbol
_atom_site_fract_x
_atom_site_fract_y
_atom_site_fract_z
_atom_site_occupancy
La1 La 0.000 0.000 0.000 1
Nb1 Nb 0.000 0.500 0.500 1
Pb1 Pb 0.500 0.500 0.500 1
```

Calculated values
* spin magnetization: 0.00 μB per formula unit
* density of states at the Fermi level: 10.26 states/eV/cell
* ΔE_f: 1.49 eV per atom
* uncorrected energy: -6.279 eV per atom

***

No. 4
CdCu2Ni2 | GGA-PBE | optimized geometry

Cell and atoms, written as CIF:
```
data_CdCu2Ni2
_cell_length_a 6.978
_cell_length_b 6.978
_cell_length_c 2.739
_cell_angle_alpha 90.00
_cell_angle_beta 90.00
_cell_angle_gamma 90.00
_space_group_name_H-M_alt 'P 4/m b m'
_space_group_IT_number 127
_space_group_name_Hall '-P 4 2ab'
loop_
_atom_site_label
_atom_site_type_symbol
_atom_site_fract_x
_atom_site_fract_y
_atom_site_fract_z
_atom_site_occupancy
Cd1 Cd 0.000 0.000 0.000 1
Cu1 Cu 0.169 0.331 0.500 1
Ni1 Ni 0.124 0.624 0.000 1
```

Calculated values
* spin magnetization: 0.01 μB per formula unit
* density of states at the Fermi level: 6.08 states/eV/cell
* ΔE_f: 0.12 eV per atom
* uncorrected energy: -4.010 eV per atom

***

No. 5
Sm2DyGa9 | GGA-PBE | optimized geometry

Cell and atoms, written as CIF:
```
data_Sm2DyGa9
_cell_length_a 4.317
_cell_length_b 4.317
_cell_length_c 12.951
_cell_angle_alpha 90.00
_cell_angle_beta 90.00
_cell_angle_gamma 90.00
_space_group_name_H-M_alt 'P 4/m m m'
_space_group_IT_number 123
_space_group_name_Hall '-P 4 2'
loop_
_atom_site_label
_atom_site_type_symbol
_atom_site_fract_x
_atom_site_fract_y
_atom_site_fract_z
_atom_site_occupancy
Sm1 Sm 0.000 0.000 0.168 1
Dy1 Dy 0.000 0.000 0.500 1
Ga1 Ga 0.000 0.500 0.000 1
Ga2 Ga 0.000 0.500 0.336 1
Ga3 Ga 0.500 0.500 0.166 1
Ga4 Ga 0.500 0.500 0.500 1
```

Calculated values
* spin magnetization: 0.00 μB per formula unit
* density of states at the Fermi level: 5.30 states/eV/cell
* ΔE_f: -0.53 eV per atom
* uncorrected energy: -3.974 eV per atom

***

No. 6
BaRu3 | GGA-PBE | optimized geometry

Cell and atoms, written as CIF:
```
data_BaRu3
_cell_length_a 4.3686
_cell_length_b 4.3686
_cell_length_c 17.5062
_cell_angle_alpha 90.00
_cell_angle_beta 90.00
_cell_angle_gamma 120.00
_space_group_name_H-M_alt 'R -3 m'
_space_group_IT_number 166
_space_group_name_Hall '-R 3 2"'
loop_
_atom_site_label
_atom_site_type_symbol
_atom_site_fract_x
_atom_site_fract_y
_atom_site_fract_z
_atom_site_occupancy
Ba1 Ba 0.0000 0.0000 0.0000 1
Ru1 Ru 0.0000 0.0000 0.1874 1
Ru2 Ru 0.0000 0.0000 0.5000 1
```

Calculated values
* spin magnetization: 0.00 μB per formula unit
* density of states at the Fermi level: 6.04 states/eV/cell
* ΔE_f: 0.42 eV per atom
* uncorrected energy: -7.021 eV per atom

***

No. 7
ErAlNi3 | GGA-PBE | optimized geometry

Cell and atoms, written as CIF:
```
data_ErAlNi3
_cell_length_a 5.423
_cell_length_b 7.009
_cell_length_c 4.373
_cell_angle_alpha 90.00
_cell_angle_beta 90.00
_cell_angle_gamma 90.00
_space_group_name_H-M_alt 'C m m m'
_space_group_IT_number 65
_space_group_name_Hall '-C 2 2'
loop_
_atom_site_label
_atom_site_type_symbol
_atom_site_fract_x
_atom_site_fract_y
_atom_site_fract_z
_atom_site_occupancy
Er1 Er 0.000 0.000 0.000 1
Al1 Al 0.000 0.500 0.500 1
Ni1 Ni 0.000 0.500 0.000 1
Ni2 Ni 0.250 0.250 0.500 1
```

Calculated values
* spin magnetization: 0.00 μB per formula unit
* density of states at the Fermi level: 6.83 states/eV/cell
* ΔE_f: -0.04 eV per atom
* uncorrected energy: -5.167 eV per atom

***

No. 8
Cd3Au2 | GGA-PBE | optimized geometry

Cell and atoms, written as CIF:
```
data_Cd3Au2
_cell_length_a 8.2811
_cell_length_b 8.2811
_cell_length_c 16.5119
_cell_angle_alpha 90.00
_cell_angle_beta 90.00
_cell_angle_gamma 120.00
_space_group_name_H-M_alt 'R -3'
_space_group_IT_number 148
_space_group_name_Hall '-R 3'
loop_
_atom_site_label
_atom_site_type_symbol
_atom_site_fract_x
_atom_site_fract_y
_atom_site_fract_z
_atom_site_occupancy
Cd1 Cd 0.0000 0.0000 0.0000 1
Cd2 Cd 0.0000 0.0000 0.1985 1
Cd3 Cd 0.0130 0.2522 0.4003 1
Au1 Au 0.0251 0.3923 0.5662 1
```

Calculated values
* spin magnetization: 0.00 μB per formula unit
* density of states at the Fermi level: 17.88 states/eV/cell
* ΔE_f: -0.14 eV per atom
* uncorrected energy: -1.996 eV per atom

***

No. 9
CaPbBr | GGA-PBE | optimized geometry

Cell and atoms, written as CIF:
```
data_CaPbBr
_cell_length_a 3.579
_cell_length_b 3.579
_cell_length_c 16.167
_cell_angle_alpha 90.00
_cell_angle_beta 90.00
_cell_angle_gamma 90.00
_space_group_name_H-M_alt 'I 4 m m'
_space_group_IT_number 107
_space_group_name_Hall 'I 4 -2'
loop_
_atom_site_label
_atom_site_type_symbol
_atom_site_fract_x
_atom_site_fract_y
_atom_site_fract_z
_atom_site_occupancy
Ca1 Ca 0.000 0.000 0.000 1
Pb1 Pb 0.000 0.000 0.339 1
Br1 Br 0.000 0.000 0.597 1
```

Calculated values
* spin magnetization: 0.00 μB per formula unit
* density of states at the Fermi level: 4.18 states/eV/cell
* E_form (uncorrected): -0.8791 eV per atom
* uncorrected energy: -3.340 eV per atom

***

No. 10
LiURh2O6 | GGA-PBE | optimized geometry

Cell and atoms, written as CIF:
```
data_LiURh2O6
_cell_length_a 5.868
_cell_length_b 5.868
_cell_length_c 4.185
_cell_angle_alpha 90.00
_cell_angle_beta 90.00
_cell_angle_gamma 90.00
_space_group_name_H-M_alt 'P 4 m m'
_space_group_IT_number 99
loop_
_space_group_symop_operation_xyz
'x,y,z'
'-y,x,z'
'-x,-y,z'
'y,-x,z'
'-x,y,z'
'y,x,z'
'x,-y,z'
'-y,-x,z'
loop_
_atom_site_label
_atom_site_type_symbol
_atom_site_fract_x
_atom_site_fract_y
_atom_site_fract_z
_atom_site_occupancy
Li1 Li 0.000 0.000 0.000 1
U1 U 0.500 0.500 0.028 1
Rh1 Rh 0.000 0.500 0.136 1
O1 O 0.000 0.000 0.508 1
O2 O 0.247 0.247 0.068 1
O3 O 0.500 0.500 0.534 1
```

Calculated values
* spin magnetization: 3.14 μB per formula unit
* density of states at the Fermi level: 5.56 states/eV/cell
* E_form (uncorrected): -1.2507 eV per atom
* uncorrected energy: -7.016 eV per atom